Ir5Br: relaxed, PBE.

Results
The value obtained for the density of states at the Fermi level is 1.16 states/eV per atom. The total DFT energy (no corrections) comes out at -0.26250 Ha/atom.

Lattice parameters (Å, degrees): 2.792 2.792 12.076 90.00 90.00 90.00
Space group P4/mmm (No. 123)
One atom of each set of equivalent atoms:
Ir 0.000 0.000 0.000 (multiplicity 1)
Ir 0.000 0.000 0.311 (multiplicity 2)
Ir 0.500 0.500 0.159 (multiplicity 2)
Br 0.500 0.500 0.500 (multiplicity 1)